[1]
DFT (PBE) results for an optimized crystal structure of Sr2LaAu2.

Cell: 8.285 8.285 4.630 Å, 90.00 90.00 90.00°
Element x y z (fractional)
Sr 0.161 0.661 0.500
Sr 0.661 0.839 0.500
Sr 0.839 0.339 0.500
Sr 0.339 0.161 0.500
Au 0.361 0.861 0.000
Au 0.861 0.639 0.000
Au 0.639 0.139 0.000
Au 0.139 0.361 0.000
La 0.000 0.000 0.000
La 0.500 0.500 0.000

- ΔE to the lowest computed polymorph (eV per atom) = 0.000
- DFT formation energy (meV per atom) = -610
- final energy (eV/atom) = -3.58

***

[2]
DFT (PBE) results for an optimized crystal structure of NaTeS3.

Cell: 5.300 7.888 7.888 Å, 91.87 70.37 70.37°
Element x y z (fractional)
Na 0.750 0.894 0.606
Na 0.250 0.106 0.394
Te 0.500 0.500 0.500
Te 0.000 0.000 0.000
S 0.956 0.460 0.628
S 0.544 0.872 0.040
S 0.456 0.128 0.960
S 0.044 0.540 0.372
S 0.250 0.849 0.651
S 0.750 0.151 0.349

- ΔE to the lowest computed polymorph (eV per atom) = 0.000
- final energy (eV/atom) = -3.56
- ΔE_f (raw) (eV/atom) = -0.19

***

For reference, calculated volume by record: 31.783, 28.857 A^3/atom.